# 1
A plane-wave DFT calculation with GGA-PBE was carried out for Cs6Rb9Na after structural relaxation.

Results
Magnetization ... 0.0 Bohr magnetons per cell
Formation energy from the elements ... 22 meV/atom
Symmetry ... I4/m, No. 87
V ... 97.66 Å³ per atom
Uncorrected energy ... -14.80 eV/cell

Cell lengths 13.159, 13.159, 13.159 Å; angles 121.89, 121.89, 86.76 degrees
Fractional positions:
Cs: 0.120 0.313 0.434
Cs: 0.214 0.214 0.000
Cs: 0.313 0.880 0.193
Cs: 0.687 0.120 0.807
Cs: 0.786 0.786 0.000
Cs: 0.880 0.687 0.566
Rb: 0.011 0.448 0.794
Rb: 0.217 0.011 0.563
Rb: 0.346 0.783 0.794
Rb: 0.448 0.654 0.437
Rb: 0.500 0.500 0.000
Rb: 0.552 0.346 0.563
Rb: 0.654 0.217 0.206
Rb: 0.783 0.989 0.437
Rb: 0.989 0.552 0.206
Na: 0.000 0.000 0.000

---

# 2
A plane-wave DFT calculation with GGA-PBE was carried out for CsCeInS4 after structural relaxation.

Results
Magnetization ... 0.3 Bohr magnetons per cell
Raw formation energy ... -1.232 eV/atom
Symmetry ... P2_1/m, No. 11
V ... 31.07 Å³ per atom
Uncorrected energy ... -69.32 eV/cell

Cell lengths 6.820, 6.942, 9.789 Å; angles 90.00, 110.18, 90.00 degrees
Fractional positions:
Cs: 0.230 0.250 0.448
Cs: 0.770 0.750 0.552
Ce: 0.283 0.250 0.951
Ce: 0.717 0.750 0.049
In: 0.263 0.750 0.158
In: 0.737 0.250 0.842
S: 0.000 0.250 0.087
S: 0.000 0.750 0.913
S: 0.050 0.750 0.313
S: 0.475 0.511 0.815
S: 0.475 0.989 0.815
S: 0.525 0.011 0.185
S: 0.525 0.489 0.185
S: 0.950 0.250 0.687

---

# 3
A plane-wave DFT calculation with GGA-PBE was carried out for Nd6MgTl3 after structural relaxation.

Results
Energy above the lowest structure with this stoichiometry ... 0.100 eV/atom
Magnetization ... 0.0 Bohr magnetons per cell
Formation energy from the elements ... -131 meV/atom
Symmetry ... Cmc2_1, No. 36
V ... 32.21 Å³ per atom
Uncorrected energy ... -77.23 eV/cell

Cell lengths 9.856, 9.856, 6.750 Å; angles 90.00, 90.00, 100.70 degrees
Fractional positions:
Nd: 0.040 0.460 0.901
Nd: 0.075 0.925 0.500
Nd: 0.247 0.305 0.221
Nd: 0.305 0.247 0.721
Nd: 0.311 0.689 0.260
Nd: 0.460 0.040 0.401
Nd: 0.540 0.960 0.901
Nd: 0.689 0.311 0.760
Nd: 0.695 0.753 0.221
Nd: 0.753 0.695 0.721
Nd: 0.925 0.075 0.000
Nd: 0.960 0.540 0.401
Mg: 0.260 0.740 0.744
Mg: 0.740 0.260 0.244
Tl: 0.003 0.761 0.038
Tl: 0.239 0.997 0.038
Tl: 0.454 0.546 0.903
Tl: 0.546 0.454 0.403
Tl: 0.761 0.003 0.538
Tl: 0.997 0.239 0.538

---

# 4
A plane-wave DFT calculation with GGA-PBE was carried out for ReTcB after structural relaxation.

Results
Energy above the lowest structure with this stoichiometry ... 0.194 eV/atom
Magnetization ... 0.0 Bohr magnetons per cell
Formation energy from the elements ... -45 meV/atom
Symmetry ... I4mm, No. 107
V ... 11.76 Å³ per atom
Uncorrected energy ... -29.63 eV/cell

Cell lengths 5.005, 5.005, 5.005 Å; angles 147.89, 147.89, 46.05 degrees
Fractional positions:
Re: 0.000 0.000 0.000
Tc: 0.713 0.713 0.000
B: 0.358 0.358 0.000